Crystalline Zn2Cd2Pd7 at its relaxed geometry, computed with PBE-GGA.

Lattice parameters (Å, degrees): 9.470 9.003 4.879 90.00 117.98 90.00
Space group C2/m (No. 12)
One atom of each set of equivalent atoms:
1 Zn 0.225 0.000 0.465 (multiplicity 4)
2 Cd 0.000 0.298 0.500 (multiplicity 4)
3 Pd 0.000 0.500 0.000 (multiplicity 2)
4 Pd 0.095 0.000 0.830 (multiplicity 4)
5 Pd 0.174 0.253 0.178 (multiplicity 8)

Results
energy of formation from the pure elements = -2.976 eV/f.u.
calculated volume = 16.7 Å³ per atom
D(E_F) = 0.281 states/eV/atom
total magnetization = 0.00 μB/f.u.
total energy = -3.97 eV/atom